A PBEsol-optimized structure of ZrSb2As. Source: Alexandria via LeMat-Bulk, functional SCAN.

Values from the calculation:
* formation energy from raw total energies: -14 kJ/mol of formula units
* SG: C2/m (12)
* E_tot: -31.388 eV/atom

Lattice parameters (Å, degrees): 3.3288 5.5789 5.5789 114.81 99.83 99.83
Fractional positions:
Sb 0.0000 0.5000 0.0000
Sb 0.0000 0.0000 0.5000
As 0.5000 0.5000 0.5000
Zr 0.5000 0.0000 0.0000